Computed, not measured: Pm2Ga4NiSn2 after structural relaxation at the GGA-PBE level of DFT.

Cell and atoms, written as CIF:
```
data_Pm2Ga4NiSn2
_chemical_formula_sum 'Pm4 Ga8 Ni2 Sn4'
_symmetry_space_group_name_H-M 'I 4/m m m'
_symmetry_Int_Tables_number 139
_symmetry_space_group_name_Hall '-I 4 2'
_cell_length_a 6.494
_cell_length_b 6.494
_cell_length_c 9.088
_cell_angle_alpha 90.00
_cell_angle_beta 90.00
_cell_angle_gamma 90.00
loop_
_atom_site_label
_atom_site_type_symbol
_atom_site_fract_x
_atom_site_fract_y
_atom_site_fract_z
Pm1 Pm 0.000 0.500 0.250
Ga1 Ga 0.232 0.232 0.000
Ni1 Ni 0.000 0.000 0.500
Sn1 Sn 0.000 0.000 0.219
```

Calculated values
The calculation puts the total magnetization at 0.0 μB/f.u. Its formation energy from the elements is -0.474 eV/atom. The density of states at the Fermi level is 0.60 states/eV per atom.